NiIrPbO2 | Alexandria | PBE+U | optimized geometry; final energy = -4.967 eV/atom; density = 10.796 Mg/m³
1.0
3.812 0.000 0.000
0.000 3.812 0.000
0.000 0.000 5.188
Ni Ir Pb O
1 1 1 2
Cartesian
0.000 0.000 0.000 Ni
0.000 0.000 2.594 Ir
1.906 1.906 0.000 Pb
0.000 1.906 2.594 O
1.906 0.000 2.594 O